VASP calculation (GGA-PBE) on crystalline BaTlSn2Hg at its relaxed geometry.

Cell: 4.8615 5.5390 7.0581 Å, 113.10 110.14 90.00°
With the nearest neighbours (Å) after each atom.
Fractional coordinates of all 5 atoms:
Ba 0.4432 0.4432 0.8865  6 Sn 3.73-3.94, 2 Tl 3.74, 4 Hg 3.96
Tl 0.1794 0.6794 0.3587  2 Hg 2.98, 2 Sn 3.12
Sn 0.7081 0.2081 0.4161  2 Sn 3.02, 2 Hg 3.09
Sn 0.0592 0.0592 0.1183  1 Hg 2.85, 2 Sn 3.02, 2 Tl 3.12
Hg 0.8223 0.8223 0.6447  3 Sn 2.85-3.09, 2 Tl 2.98

Crystal system = orthorhombic
Energy relative to the elements = -323 meV per atom

---

VASP calculation (GGA-PBE) on crystalline CaScSi2Ir at its relaxed geometry.

Cell: 4.9701 4.8522 4.9701 Å, 90.00 90.00 90.00°
With the nearest neighbours (Å) after each atom.
Fractional coordinates of all 5 atoms:
Sc 0.5000 0.5000 0.5000  8 Si 3.47, 4 Ir 3.51
Ca 0.0000 0.0000 0.0000  2 Ir 2.43, 4 Si 2.49
Ir 0.0000 0.5000 0.0000  2 Ca 2.43
Si 0.0000 0.0000 0.5000  2 Ca 2.49
Si 0.5000 0.0000 0.0000  2 Ca 2.49

Crystal system = tetragonal
Formation energy (no corrections) = 611 kJ/mol of formula units

---

VASP calculation (GGA-PBE) on crystalline TlBrN3 at its relaxed geometry.

Cell: 4.0354 4.0354 4.0354 Å, 90.00 90.00 90.00°
With the nearest neighbours (Å) after each atom.
Fractional coordinates of all 5 atoms:
Tl 0.5000 0.5000 0.5000  12 N 2.85
Br 0.0000 0.0000 0.0000  6 N 2.02
N 0.0000 0.5000 0.0000  2 Br 2.02
N 0.0000 0.0000 0.5000  2 Br 2.02
N 0.5000 0.0000 0.0000  2 Br 2.02

Crystal system = cubic
Formation energy (no corrections) = 1202 kJ/mol of formula units

---

VASP calculation (GGA-PBE) on crystalline K2Ta at its relaxed geometry.

Cell: 6.7397 6.7397 2.8495 Å, 90.00 90.00 90.00°
With the nearest neighbours (Å) after each atom.
Fractional coordinates of all 3 atoms:
K 0.0000 0.5000 0.5000  2 K 2.85
K 0.5000 0.0000 0.5000  2 K 2.85
Ta 0.0000 0.0000 0.0000  2 Ta 2.85

Polymorph energy (0 for the lowest one) = 0.8857 eV/atom
Crystal system = tetragonal
Energy relative to the elements = 1576 meV per atom

---

VASP calculation (GGA-PBE) on crystalline SrMg2In at its relaxed geometry.

Cell: 4.8877 9.6258 10.5219 Å, 90.00 90.00 104.71°
With the nearest neighbours (Å) after each atom.
Fractional coordinates of all 16 atoms:
Sr 0.5000 0.0000 0.5000  4 In 3.61, 6 Mg 3.70-3.81
Sr 0.5000 0.0000 0.0000  4 In 3.61, 6 Mg 3.70-3.81
Sr 0.6909 0.3818 0.2500  4 In 3.53, 9 Mg 3.60-3.66
Sr 0.3091 0.6182 0.7500  4 In 3.53, 9 Mg 3.60-3.66
Mg 0.1125 0.2250 0.7500  2 In 2.94, 1 Mg 3.00
Mg 0.0483 0.0967 0.2500  2 In 2.95, 1 Mg 3.00
Mg 0.8875 0.7750 0.2500  2 In 2.94, 1 Mg 3.00
Mg 0.9517 0.9033 0.7500  2 In 2.95, 1 Mg 3.00
Mg 0.3028 0.6055 0.4040  3 In 2.94-3.09, 1 Mg 3.24
Mg 0.6972 0.3945 0.5960  3 In 2.94-3.09, 1 Mg 3.24
Mg 0.6972 0.3945 0.9040  3 In 2.94-3.09, 1 Mg 3.24
Mg 0.3028 0.6055 0.0960  3 In 2.94-3.09, 1 Mg 3.24
In 0.8581 0.7162 0.5241  5 Mg 2.94-3.09
In 0.1419 0.2838 0.0241  5 Mg 2.94-3.09
In 0.8581 0.7162 0.9759  5 Mg 2.94-3.09
In 0.1419 0.2838 0.4759  5 Mg 2.94-3.09

Crystal system = orthorhombic
Energy relative to the elements = -209 meV per atom

---

VASP calculation (GGA-PBE) on crystalline PmDyPa2P4 at its relaxed geometry.

Cell: 4.0113 6.9499 6.9479 Å, 70.54 90.00 90.00°
With the nearest neighbours (Å) after each atom.
Fractional coordinates of all 8 atoms:
Pm 0.5000 0.5000 0.0000  6 P 2.89
Dy 0.0000 0.5000 0.5000  6 P 2.86
Pa 0.0000 0.0000 0.0000  6 P 2.82
Pa 0.5000 0.0000 0.5000  6 P 2.79
P 0.0000 0.7605 0.7429  3 Pa 2.79-2.82, 1 Dy 2.86, 2 Pm 2.89
P 0.0000 0.2395 0.2571  3 Pa 2.79-2.82, 1 Dy 2.86, 2 Pm 2.89
P 0.5000 0.7577 0.2508  3 Pa 2.79-2.82, 2 Dy 2.86, 1 Pm 2.89
P 0.5000 0.2423 0.7492  3 Pa 2.79-2.82, 2 Dy 2.86, 1 Pm 2.89

Crystal system = monoclinic
Energy relative to the elements = -1446 meV per atom

---

VASP calculation (GGA-PBE) on crystalline Mg2B2W at its relaxed geometry.

Cell: 3.4580 3.4580 5.5246 Å, 71.76 71.76 90.00°
With the nearest neighbours (Å) after each atom.
Fractional coordinates of all 5 atoms:
Mg 0.7500 0.2500 0.5000  4 B 2.39, 4 Mg 2.45
Mg 0.2500 0.7500 0.5000  4 B 2.39, 4 Mg 2.45
B 0.4165 0.4165 0.1670  1 B 1.65
B 0.5835 0.5835 0.8330  1 B 1.65
W 0.0000 0.0000 0.0000  8 B 2.58

Polymorph energy (0 for the lowest one) = 0.1108 eV/atom
Crystal system = tetragonal
Energy relative to the elements = 496 meV per atom

---

VASP calculation (GGA-PBE) on crystalline PmHo3Ga3 at its relaxed geometry.

Cell: 4.7800 9.1913 9.1913 Å, 120.00 90.00 90.00°
With the nearest neighbours (Å) after each atom.
Fractional coordinates of all 14 atoms:
Pm 0.2500 0.6667 0.3333  9 Ga 3.20-3.32
Pm 0.7500 0.3333 0.6667  9 Ga 3.20-3.32
Ho 0.7500 0.7621 0.7448  4 Ga 2.94-3.08
Ho 0.7500 0.2552 0.0173  4 Ga 2.94-3.08
Ho 0.7500 0.9827 0.2379  4 Ga 2.94-3.08
Ho 0.2500 0.2379 0.2552  4 Ga 2.94-3.08
Ho 0.2500 0.7448 0.9827  4 Ga 2.94-3.08
Ho 0.2500 0.0173 0.7621  4 Ga 2.94-3.08
Ga 0.2500 0.5506 0.6086  4 Ho 2.94-3.08, 2 Ga 2.95, 1 Pm 3.20
Ga 0.2500 0.3914 0.9420  4 Ho 2.94-3.08, 2 Ga 2.95, 1 Pm 3.20
Ga 0.2500 0.0580 0.4494  4 Ho 2.94-3.08, 2 Ga 2.95, 1 Pm 3.20
Ga 0.7500 0.4494 0.3914  4 Ho 2.94-3.08, 2 Ga 2.95, 1 Pm 3.20
Ga 0.7500 0.6086 0.0580  4 Ho 2.94-3.08, 2 Ga 2.95, 1 Pm 3.20
Ga 0.7500 0.9420 0.5506  4 Ho 2.94-3.08, 2 Ga 2.95, 1 Pm 3.20

Crystal system = hexagonal
Energy relative to the elements = -440 meV per atom

---

VASP calculation (GGA-PBE) on crystalline GeSb2Rh at its relaxed geometry.

Cell: 6.0554 6.0554 7.4937 Å, 66.17 66.17 90.00°
With the nearest neighbours (Å) after each atom.
Fractional coordinates of all 8 atoms:
Sb 0.6520 0.1250 0.2500  2 Rh 2.55, 2 Ge 2.73
Sb 0.0980 0.6250 0.2500  2 Rh 2.55, 2 Ge 2.73
Sb 0.3750 0.3480 0.7500  2 Rh 2.55, 2 Ge 2.73
Sb 0.8750 0.9020 0.7500  2 Rh 2.55, 2 Ge 2.73
Ge 0.5000 0.5000 0.0000  4 Sb 2.73
Ge 0.2500 0.7500 0.5000  4 Sb 2.73
Rh 0.0000 0.0000 0.0000  4 Sb 2.55
Rh 0.7500 0.2500 0.5000  4 Sb 2.55

Crystal system = tetragonal
Formation energy (no corrections) = 9 kJ/mol of formula units

---

VASP calculation (GGA-PBE) on crystalline Y3HgC at its relaxed geometry.

Cell: 14.3835 9.6320 9.6320 Å, 110.70 138.90 41.10°
With the nearest neighbours (Å) after each atom.
Fractional coordinates of all 20 atoms:
Y 0.2464 0.4979 0.3388  2 C 2.51-2.53
Y 0.2536 0.8388 0.9979  2 C 2.51-2.53
Y 0.7536 0.5021 0.6612  2 C 2.51-2.53
Y 0.7464 0.1612 0.0021  2 C 2.51-2.53
Y 0.2558 0.1336 0.3464  2 C 2.43-2.59
Y 0.2442 0.8464 0.6336  2 C 2.43-2.59
Y 0.7442 0.8664 0.6536  2 C 2.43-2.59
Y 0.7558 0.1536 0.3664  2 C 2.43-2.59
Y 0.6951 0.8687 0.9948  2 C 2.47
Y 0.8049 0.4948 0.3687  2 C 2.47
Y 0.3049 0.1313 0.0052  2 C 2.47
Y 0.1951 0.5052 0.6313  2 C 2.47
C 0.4800 0.1669 0.6665  6 Y 2.43-2.59
C 0.0200 0.1665 0.6669  6 Y 2.43-2.59
C 0.5200 0.8331 0.3335  6 Y 2.43-2.59
C 0.9800 0.8335 0.3331  6 Y 2.43-2.59
Hg 0.7500 0.1949 0.6949  6 Y 3.10-3.24, 3 Hg 3.23-3.40
Hg 0.2500 0.8051 0.3051  6 Y 3.10-3.24, 3 Hg 3.23-3.40
Hg 0.7500 0.4894 0.9894  6 Y 3.09-3.25, 1 Hg 3.23
Hg 0.2500 0.5106 0.0106  6 Y 3.09-3.25, 1 Hg 3.23

Polymorph energy (0 for the lowest one) = 0.1532 eV/atom
Crystal system = monoclinic
Energy relative to the elements = -275 meV per atom

---

VASP calculation (GGA-PBE) on crystalline MgAsPO2 at its relaxed geometry.

Cell: 3.7651 3.7651 5.0022 Å, 90.00 90.00 90.00°
With the nearest neighbours (Å) after each atom.
Fractional coordinates of all 5 atoms:
P 0.0000 0.0000 0.5000  2 As 2.50, 4 Mg 2.66
As 0.0000 0.0000 0.0000  4 O 1.88
Mg 0.5000 0.5000 0.5000  4 P 2.66
O 0.0000 0.5000 0.0000  2 As 1.88
O 0.5000 0.0000 0.0000  2 As 1.88

Polymorph energy (0 for the lowest one) = 0.0000 eV/atom
Crystal system = tetragonal
Formation energy (no corrections) = -240 kJ/mol of formula units

---

VASP calculation (GGA-PBE) on crystalline Dy4Se3N2 at its relaxed geometry.

Cell: 3.5498 6.7845 8.3712 Å, 101.37 90.00 105.17°
With the nearest neighbours (Å) after each atom.
Fractional coordinates of all 9 atoms:
Dy 0.6740 0.3480 0.1045  3 N 2.33-2.39
Dy 0.0882 0.1763 0.6900  2 N 2.48
Dy 0.9118 0.8237 0.3100  2 N 2.48
Dy 0.3260 0.6520 0.8955  3 N 2.33-2.39
Se 0.3994 0.7988 0.5899  5 Dy 2.91-3.02
Se 0.0000 0.0000 0.0000  6 Dy 2.88-3.05
Se 0.6006 0.2012 0.4101  5 Dy 2.91-3.02
N 0.2987 0.5975 0.1622  5 Dy 2.33-2.48
N 0.7013 0.4025 0.8378  5 Dy 2.33-2.48

Polymorph energy (0 for the lowest one) = 0.1452 eV/atom
Crystal system = monoclinic
Formation energy (no corrections) = -1468 kJ/mol of formula units

---

VASP calculation (GGA-PBE) on crystalline TbPaCO at its relaxed geometry.

Cell: 4.0662 4.0662 8.4711 Å, 90.00 90.00 90.00°
With the nearest neighbours (Å) after each atom.
Fractional coordinates of all 8 atoms:
Tb 0.5000 0.0000 0.6208  4 O 2.28
Tb 0.0000 0.5000 0.3792  4 O 2.28
Pa 0.5000 0.5000 0.0000  4 C 2.42
Pa 0.0000 0.0000 0.0000  4 C 2.42
C 0.0000 0.5000 0.8440  4 Pa 2.42
C 0.5000 0.0000 0.1560  4 Pa 2.42
O 0.0000 0.0000 0.5000  4 Tb 2.28
O 0.5000 0.5000 0.5000  4 Tb 2.28

Crystal system = tetragonal
Formation energy (no corrections) = -506 kJ/mol of formula units

---

VASP calculation (GGA-PBE) on crystalline BaNbBOs2 at its relaxed geometry.

Cell: 4.9816 5.1802 4.9816 Å, 90.00 90.00 90.00°
With the nearest neighbours (Å) after each atom.
Fractional coordinates of all 5 atoms:
Nb 0.0000 0.5000 0.0000  2 Ba 2.59
B 0.5000 0.5000 0.5000  4 Nb 3.52, 8 Os 3.59
Os 0.0000 0.0000 0.5000  2 Ba 2.49
Os 0.5000 0.0000 0.0000  2 Ba 2.49
Ba 0.0000 0.0000 0.0000  4 Os 2.49, 2 Nb 2.59

Crystal system = tetragonal
Energy relative to the elements = 4175 meV per atom

---

VASP calculation (GGA-PBE) on crystalline BeAlAgPt at its relaxed geometry.

Cell: 4.2892 4.2892 4.2892 Å, 60.00 60.00 60.00°
With the nearest neighbours (Å) after each atom.
Fractional coordinates of all 4 atoms:
Be 0.7500 0.7500 0.7500  4 Pt 2.63, 4 Ag 2.63
Ag 0.0000 0.0000 0.0000  4 Al 2.63, 4 Be 2.63
Pt 0.5000 0.5000 0.5000  4 Be 2.63, 4 Al 2.63
Al 0.2500 0.2500 0.2500  4 Pt 2.63, 4 Ag 2.63

Crystal system = cubic
Energy relative to the elements = -392 meV per atom

---

VASP calculation (GGA-PBE) on crystalline PmPrSiH at its relaxed geometry.

Cell: 4.9748 4.9748 4.9748 Å, 60.00 60.00 60.00°
With the nearest neighbours (Å) after each atom.
Fractional coordinates of all 4 atoms:
Pr 0.2500 0.2500 0.2500  4 H 3.05, 4 Si 3.05
H 0.0000 0.0000 0.0000  4 Pm 3.05, 4 Pr 3.05
Si 0.5000 0.5000 0.5000  4 Pm 3.05, 4 Pr 3.05
Pm 0.7500 0.7500 0.7500  4 H 3.05, 4 Si 3.05

DFT total energy = -19.7 eV for the cell shown
Crystal system = cubic

---

VASP calculation (GGA-PBE) on crystalline AcTl3Cd3 at its relaxed geometry.

Cell: 7.9628 7.9628 7.9628 Å, 90.00 90.00 90.00°
With the nearest neighbours (Å) after each atom.
Fractional coordinates of all 14 atoms:
Ac 0.5000 0.5000 0.5000  12 Cd 4.45, 12 Tl 4.45
Ac 0.0000 0.0000 0.0000  12 Cd 4.45, 12 Tl 4.45
Tl 0.2500 0.0000 0.5000  4 Cd 2.82
Tl 0.0000 0.5000 0.2500  4 Cd 2.82
Tl 0.5000 0.7500 0.0000  4 Cd 2.82
Tl 0.7500 0.0000 0.5000  4 Cd 2.82
Tl 0.0000 0.5000 0.7500  4 Cd 2.82
Tl 0.5000 0.2500 0.0000  4 Cd 2.82
Cd 0.0000 0.2500 0.5000  4 Tl 2.82
Cd 0.0000 0.7500 0.5000  4 Tl 2.82
Cd 0.5000 0.0000 0.7500  4 Tl 2.82
Cd 0.7500 0.5000 0.0000  4 Tl 2.82
Cd 0.5000 0.0000 0.2500  4 Tl 2.82
Cd 0.2500 0.5000 0.0000  4 Tl 2.82

Crystal system = cubic
Energy relative to the elements = 290 meV per atom